# 1
# Rb12Hg7Au, relaxed, DFT PBE
data_Rb12Hg7Au
_cell_length_a 18.4570
_cell_length_b 18.4570
_cell_length_c 10.8980
_cell_angle_alpha 90.00
_cell_angle_beta 90.00
_cell_angle_gamma 120.00
_space_group_name_H-M_alt 'R -3'
_space_group_IT_number 148
_space_group_name_Hall '-R 3'
loop_
_atom_site_label
_atom_site_type_symbol
_atom_site_fract_x
_atom_site_fract_y
_atom_site_fract_z
Rb1 Rb 0.0222 0.1577 0.1823
Rb2 Rb 0.0347 0.2587 0.5727
Hg1 Hg 0.0000 0.0000 0.5000
Hg2 Hg 0.0342 0.4587 0.5833
Au1 Au 0.0000 0.0000 0.0000
# D(E_F): 37.73 states/eV per cell
# Energy of formation from the pure elements: -0.170 eV per atom
# Uncorrected energy: -1.020 eV per atom
# Theoretical density: 4.070 g/cm³

***

# 2
# RbHg4Au, relaxed, DFT PBE
data_RbHg4Au
_cell_length_a 5.004
_cell_length_b 18.309
_cell_length_c 7.924
_cell_angle_alpha 90.00
_cell_angle_beta 90.00
_cell_angle_gamma 90.00
_space_group_name_H-M_alt 'C m c m'
_space_group_IT_number 63
_space_group_name_Hall '-C 2c 2'
loop_
_atom_site_label
_atom_site_type_symbol
_atom_site_fract_x
_atom_site_fract_y
_atom_site_fract_z
Rb1 Rb 0.000 0.128 0.250
Hg1 Hg 0.000 0.064 0.750
Hg2 Hg 0.000 0.317 0.051
Hg3 Hg 0.000 0.500 0.000
Au1 Au 0.000 0.223 0.750
# D(E_F): 6.43 states/eV per cell
# Energy of formation from the pure elements: -0.167 eV per atom
# Uncorrected energy: -1.075 eV per atom
# Theoretical density: 9.926 g/cm³

***

# 3
# Rb2Hg5Au5, relaxed, DFT PBE
data_Rb2Hg5Au5
_cell_length_a 4.667
_cell_length_b 6.090
_cell_length_c 11.165
_cell_angle_alpha 90.00
_cell_angle_beta 90.00
_cell_angle_gamma 90.00
_space_group_name_H-M_alt 'P m m m'
_space_group_IT_number 47
loop_
_space_group_symop_operation_xyz
'x,y,z'
'-x,-y,-z'
'-x,-y,z'
'x,y,-z'
'x,-y,-z'
'-x,y,z'
'-x,y,-z'
'x,-y,z'
loop_
_atom_site_label
_atom_site_type_symbol
_atom_site_fract_x
_atom_site_fract_y
_atom_site_fract_z
Rb1 Rb 0.000 0.000 0.000
Rb2 Rb 0.000 0.500 0.500
Hg1 Hg 0.000 0.000 0.317
Hg2 Hg 0.000 0.500 0.169
Hg3 Hg 0.500 0.000 0.500
Au1 Au 0.500 0.240 0.224
Au2 Au 0.500 0.500 0.000
# D(E_F): 3.83 states/eV per cell
# Energy of formation from the pure elements: -0.114 eV per atom
# Uncorrected energy: -1.767 eV per atom
# Theoretical density: 11.295 g/cm³

***

# 4
# RbHgAu4, relaxed, DFT PBE
data_RbHgAu4
_cell_length_a 8.178
_cell_length_b 8.178
_cell_length_c 8.178
_cell_angle_alpha 90.00
_cell_angle_beta 90.00
_cell_angle_gamma 90.00
_space_group_name_H-M_alt 'F -4 3 m'
_space_group_IT_number 216
_space_group_name_Hall 'F -4 2 3'
loop_
_atom_site_label
_atom_site_type_symbol
_atom_site_fract_x
_atom_site_fract_y
_atom_site_fract_z
Rb1 Rb 0.000 0.000 0.000
Hg1 Hg 0.250 0.250 0.750
Au1 Au 0.125 0.125 0.375
# D(E_F): 14.79 states/eV per cell
# Energy of formation from the pure elements: -0.093 eV per atom
# Uncorrected energy: -2.489 eV per atom
# Theoretical density: 13.042 g/cm³

***

# 5
# RbHg10Au3, relaxed, DFT PBE
data_RbHg10Au3
_cell_length_a 14.832
_cell_length_b 14.832
_cell_length_c 14.832
_cell_angle_alpha 90.00
_cell_angle_beta 90.00
_cell_angle_gamma 90.00
_space_group_name_H-M_alt 'F m -3 m'
_space_group_IT_number 225
_space_group_name_Hall '-F 4 2 3'
loop_
_atom_site_label
_atom_site_type_symbol
_atom_site_fract_x
_atom_site_fract_y
_atom_site_fract_z
Rb1 Rb 0.250 0.250 0.250
Hg1 Hg 0.000 0.174 0.174
Hg2 Hg 0.109 0.109 0.391
Au1 Au 0.000 0.000 0.256
# D(E_F): 25.07 states/eV per cell
# Energy of formation from the pure elements: -0.029 eV per atom
# Uncorrected energy: -1.016 eV per atom
# Theoretical density: 10.921 g/cm³

***

# 6
# Rb2HgAu2, relaxed, DFT PBE
data_Rb2HgAu2
_cell_length_a 8.433
_cell_length_b 8.433
_cell_length_c 4.878
_cell_angle_alpha 90.00
_cell_angle_beta 90.00
_cell_angle_gamma 90.00
_space_group_name_H-M_alt 'P 4/m b m'
_space_group_IT_number 127
_space_group_name_Hall '-P 4 2ab'
loop_
_atom_site_label
_atom_site_type_symbol
_atom_site_fract_x
_atom_site_fract_y
_atom_site_fract_z
Rb1 Rb 0.174 0.326 0.000
Hg1 Hg 0.000 0.000 0.500
Au1 Au 0.122 0.622 0.500
# D(E_F): 1.52 states/eV per cell
# Energy of formation from the pure elements: -0.240 eV per atom
# Uncorrected energy: -1.998 eV per atom
# Theoretical density: 7.328 g/cm³

***

# 7
# Rb2Hg9Au3, relaxed, DFT PBE
data_Rb2Hg9Au3
_cell_length_a 15.249
_cell_length_b 8.768
_cell_length_c 12.761
_cell_angle_alpha 90.00
_cell_angle_beta 113.54
_cell_angle_gamma 90.00
_space_group_name_H-M_alt 'C 1 2/c 1'
_space_group_IT_number 15
loop_
_space_group_symop_operation_xyz
'x,y,z'
'-x,-y,-z'
'-x,y,-z+1/2'
'x,-y,z+1/2'
'x+1/2,y+1/2,z'
'-x+1/2,-y+1/2,-z'
'-x+1/2,y+1/2,-z+1/2'
'x+1/2,-y+1/2,z+1/2'
loop_
_atom_site_label
_atom_site_type_symbol
_atom_site_fract_x
_atom_site_fract_y
_atom_site_fract_z
Rb1 Rb 0.168 0.084 0.250
Hg1 Hg 0.000 0.377 0.250
Hg2 Hg 0.060 0.082 0.931
Hg3 Hg 0.103 0.312 0.750
Hg4 Hg 0.103 0.415 0.058
Hg5 Hg 0.226 0.417 0.433
Au1 Au 0.085 0.248 0.502
Au2 Au 0.250 0.250 0.000
# D(E_F): 6.70 states/eV per cell
# Energy of formation from the pure elements: -0.139 eV per atom
# Uncorrected energy: -1.173 eV per atom
# Theoretical density: 10.901 g/cm³

***

# 8
# Rb4Hg3Au5, relaxed, DFT PBE
data_Rb4Hg3Au5
_cell_length_a 16.489
_cell_length_b 5.273
_cell_length_c 11.332
_cell_angle_alpha 90.00
_cell_angle_beta 115.54
_cell_angle_gamma 90.00
_space_group_name_H-M_alt 'C 1 2/m 1'
_space_group_IT_number 12
loop_
_space_group_symop_operation_xyz
'x,y,z'
'-x,-y,-z'
'-x,y,-z'
'x,-y,z'
'x+1/2,y+1/2,z'
'-x+1/2,-y+1/2,-z'
'-x+1/2,y+1/2,-z'
'x+1/2,-y+1/2,z'
loop_
_atom_site_label
_atom_site_type_symbol
_atom_site_fract_x
_atom_site_fract_y
_atom_site_fract_z
Rb1 Rb 0.049 0.000 0.354
Rb2 Rb 0.240 0.500 0.226
Hg1 Hg 0.000 0.000 0.000
Hg2 Hg 0.113 0.500 0.864
Au1 Au 0.000 0.500 0.000
Au2 Au 0.088 0.500 0.597
Au3 Au 0.225 0.500 0.518
# D(E_F): 9.25 states/eV per cell
# Energy of formation from the pure elements: -0.226 eV per atom
# Uncorrected energy: -1.989 eV per atom
# Theoretical density: 7.205 g/cm³

***

# 9
# RbHg2Au2, relaxed, DFT PBE
data_RbHg2Au2
_cell_length_a 8.511
_cell_length_b 8.511
_cell_length_c 3.542
_cell_angle_alpha 90.00
_cell_angle_beta 90.00
_cell_angle_gamma 90.00
_space_group_name_H-M_alt 'P 4/m b m'
_space_group_IT_number 127
_space_group_name_Hall '-P 4 2ab'
loop_
_atom_site_label
_atom_site_type_symbol
_atom_site_fract_x
_atom_site_fract_y
_atom_site_fract_z
Rb1 Rb 0.000 0.000 0.000
Hg1 Hg 0.174 0.326 0.500
Au1 Au 0.118 0.618 0.000
# D(E_F): 3.65 states/eV per cell
# Energy of formation from the pure elements: -0.050 eV per atom
# Uncorrected energy: -1.675 eV per atom
# Theoretical density: 11.398 g/cm³

***

# 10
# Rb6HgAu3, relaxed, DFT PBE
data_Rb6HgAu3
_cell_length_a 11.973
_cell_length_b 4.893
_cell_length_c 17.767
_cell_angle_alpha 90.00
_cell_angle_beta 107.04
_cell_angle_gamma 90.00
_space_group_name_H-M_alt 'P 1 21/m 1'
_space_group_IT_number 11
loop_
_space_group_symop_operation_xyz
'x,y,z'
'-x,-y,-z'
'-x,y+1/2,-z'
'x,-y+1/2,z'
loop_
_atom_site_label
_atom_site_type_symbol
_atom_site_fract_x
_atom_site_fract_y
_atom_site_fract_z
Rb1 Rb 0.005 0.250 0.165
Rb2 Rb 0.079 0.750 0.610
Rb3 Rb 0.253 0.750 0.094
Rb4 Rb 0.303 0.750 0.419
Rb5 Rb 0.346 0.250 0.925
Rb6 Rb 0.412 0.250 0.703
Hg1 Hg 0.346 0.250 0.260
Au1 Au 0.058 0.250 0.981
Au2 Au 0.198 0.250 0.520
Au3 Au 0.481 0.250 0.144
# D(E_F): 9.01 states/eV per cell
# Energy of formation from the pure elements: -0.216 eV per atom
# Uncorrected energy: -1.810 eV per atom
# Theoretical density: 4.352 g/cm³

***

# 11
# RbHg9Au2, relaxed, DFT PBE
data_RbHg9Au2
_cell_length_a 9.6193
_cell_length_b 9.6193
_cell_length_c 4.2190
_cell_angle_alpha 90.00
_cell_angle_beta 90.00
_cell_angle_gamma 120.00
_space_group_name_H-M_alt 'P 6/m m m'
_space_group_IT_number 191
_space_group_name_Hall '-P 6 2'
loop_
_atom_site_label
_atom_site_type_symbol
_atom_site_fract_x
_atom_site_fract_y
_atom_site_fract_z
Rb1 Rb 0.0000 0.0000 0.0000
Hg1 Hg 0.0000 0.5000 0.0000
Hg2 Hg 0.1929 0.3858 0.5000
Au1 Au 0.3333 0.6667 0.0000
# D(E_F): 4.18 states/eV per cell
# Energy of formation from the pure elements: -0.064 eV per atom
# Uncorrected energy: -0.917 eV per atom
# Theoretical density: 11.222 g/cm³

***

# 12
# RbHg2Au2, relaxed, DFT PBE
data_RbHg2Au2
_cell_length_a 11.937
_cell_length_b 4.775
_cell_length_c 5.346
_cell_angle_alpha 90.00
_cell_angle_beta 108.85
_cell_angle_gamma 90.00
_space_group_name_H-M_alt 'C 1 2/m 1'
_space_group_IT_number 12
loop_
_space_group_symop_operation_xyz
'x,y,z'
'-x,-y,-z'
'-x,y,-z'
'x,-y,z'
'x+1/2,y+1/2,z'
'-x+1/2,-y+1/2,-z'
'-x+1/2,y+1/2,-z'
'x+1/2,-y+1/2,z'
loop_
_atom_site_label
_atom_site_type_symbol
_atom_site_fract_x
_atom_site_fract_y
_atom_site_fract_z
Rb1 Rb 0.000 0.000 0.000
Hg1 Hg 0.137 0.500 0.563
Au1 Au 0.241 0.500 0.144
# D(E_F): 2.59 states/eV per cell
# Energy of formation from the pure elements: -0.183 eV per atom
# Uncorrected energy: -1.808 eV per atom
# Theoretical density: 10.142 g/cm³

***

# 13
# RbHg4Au, relaxed, DFT PBE
data_RbHg4Au
_cell_length_a 9.006
_cell_length_b 9.006
_cell_length_c 9.006
_cell_angle_alpha 90.00
_cell_angle_beta 90.00
_cell_angle_gamma 90.00
_space_group_name_H-M_alt 'F -4 3 m'
_space_group_IT_number 216
_space_group_name_Hall 'F -4 2 3'
loop_
_atom_site_label
_atom_site_type_symbol
_atom_site_fract_x
_atom_site_fract_y
_atom_site_fract_z
Rb1 Rb 0.000 0.000 0.000
Hg1 Hg 0.124 0.124 0.376
Au1 Au 0.250 0.250 0.750
# D(E_F): 1.32 states/eV per cell
# Energy of formation from the pure elements: -0.075 eV per atom
# Uncorrected energy: -0.984 eV per atom
# Theoretical density: 9.863 g/cm³

***

# 14
# Rb3Hg2Au3, relaxed, DFT PBE
data_Rb3Hg2Au3
_cell_length_a 5.097
_cell_length_b 12.337
_cell_length_c 16.831
_cell_angle_alpha 90.00
_cell_angle_beta 90.00
_cell_angle_gamma 90.00
_space_group_name_H-M_alt 'C m c m'
_space_group_IT_number 63
_space_group_name_Hall '-C 2c 2'
loop_
_atom_site_label
_atom_site_type_symbol
_atom_site_fract_x
_atom_site_fract_y
_atom_site_fract_z
Rb1 Rb 0.000 0.092 0.108
Rb2 Rb 0.000 0.381 0.250
Hg1 Hg 0.000 0.204 0.591
Au1 Au 0.000 0.317 0.750
Au2 Au 0.000 0.394 0.035
# D(E_F): 8.98 states/eV per cell
# Energy of formation from the pure elements: -0.278 eV per atom
# Uncorrected energy: -1.946 eV per atom
# Theoretical density: 7.835 g/cm³

***

# 15
# RbHgAu3, relaxed, DFT PBE
data_RbHgAu3
_cell_length_a 5.664
_cell_length_b 10.290
_cell_length_c 9.763
_cell_angle_alpha 90.00
_cell_angle_beta 90.00
_cell_angle_gamma 90.00
_space_group_name_H-M_alt 'I m m a'
_space_group_IT_number 74
_space_group_name_Hall '-I 2b 2'
loop_
_atom_site_label
_atom_site_type_symbol
_atom_site_fract_x
_atom_site_fract_y
_atom_site_fract_z
Rb1 Rb 0.000 0.250 0.071
Hg1 Hg 0.000 0.000 0.500
Au1 Au 0.000 0.250 0.638
Au2 Au 0.250 0.039 0.750
# D(E_F): 5.42 states/eV per cell
# Energy of formation from the pure elements: -0.150 eV per atom
# Uncorrected energy: -2.370 eV per atom
# Theoretical density: 10.237 g/cm³

***

# 16
# RbHg4Au4, relaxed, DFT PBE
data_RbHg4Au4
_cell_length_a 9.605
_cell_length_b 9.605
_cell_length_c 5.545
_cell_angle_alpha 90.00
_cell_angle_beta 90.00
_cell_angle_gamma 90.00
_space_group_name_H-M_alt 'P 42/n'
_space_group_IT_number 86
loop_
_space_group_symop_operation_xyz
'x,y,z'
'-x,-y,-z'
'-y,x+1/2,z+1/2'
'y,-x+1/2,-z+1/2'
'-x+1/2,-y+1/2,z'
'x+1/2,y+1/2,-z'
'y+1/2,-x,z+1/2'
'-y+1/2,x,-z+1/2'
loop_
_atom_site_label
_atom_site_type_symbol
_atom_site_fract_x
_atom_site_fract_y
_atom_site_fract_z
Rb1 Rb 0.250 0.250 0.250
Hg1 Hg 0.117 0.620 0.149
Au1 Au 0.076 0.916 0.155
# D(E_F): 4.26 states/eV per cell
# Energy of formation from the pure elements: -0.061 eV per atom
# Uncorrected energy: -1.759 eV per atom
# Theoretical density: 10.878 g/cm³

***

# 17
# Rb8Hg2Au3, relaxed, DFT PBE
data_Rb8Hg2Au3
_cell_length_a 19.943
_cell_length_b 8.814
_cell_length_c 8.653
_cell_angle_alpha 90.00
_cell_angle_beta 112.45
_cell_angle_gamma 90.00
_space_group_name_H-M_alt 'C 1 2/m 1'
_space_group_IT_number 12
loop_
_space_group_symop_operation_xyz
'x,y,z'
'-x,-y,-z'
'-x,y,-z'
'x,-y,z'
'x+1/2,y+1/2,z'
'-x+1/2,-y+1/2,-z'
'-x+1/2,y+1/2,-z'
'x+1/2,-y+1/2,z'
loop_
_atom_site_label
_atom_site_type_symbol
_atom_site_fract_x
_atom_site_fract_y
_atom_site_fract_z
Rb1 Rb 0.086 0.000 0.418
Rb2 Rb 0.108 0.260 0.919
Rb3 Rb 0.164 0.500 0.506
Hg1 Hg 0.236 0.000 0.821
Au1 Au 0.000 0.000 0.000
Au2 Au 0.000 0.337 0.500
# D(E_F): 17.50 states/eV per cell
# Energy of formation from the pure elements: -0.167 eV per atom
# Uncorrected energy: -1.565 eV per atom
# Theoretical density: 3.959 g/cm³

***

# 18
# Rb2Hg6Au3, relaxed, DFT PBE
data_Rb2Hg6Au3
_cell_length_a 8.8177
_cell_length_b 8.8177
_cell_length_c 4.8968
_cell_angle_alpha 90.00
_cell_angle_beta 90.00
_cell_angle_gamma 120.00
_space_group_name_H-M_alt 'P -6 2 m'
_space_group_IT_number 189
_space_group_name_Hall 'P -6 -2'
loop_
_atom_site_label
_atom_site_type_symbol
_atom_site_fract_x
_atom_site_fract_y
_atom_site_fract_z
Rb1 Rb 0.3333 0.6667 0.0000
Hg1 Hg 0.0000 0.3068 0.5000
Hg2 Hg 0.0000 0.8002 0.0000
Au1 Au 0.0000 0.6320 0.5000
# D(E_F): 1.49 states/eV per cell
# Energy of formation from the pure elements: -0.162 eV per atom
# Uncorrected energy: -1.396 eV per atom
# Theoretical density: 9.898 g/cm³

***

# 19
# Rb8Hg6Au, relaxed, DFT PBE
data_Rb8Hg6Au
_cell_length_a 11.4344
_cell_length_b 11.4344
_cell_length_c 20.6313
_cell_angle_alpha 90.00
_cell_angle_beta 90.00
_cell_angle_gamma 120.00
_space_group_name_H-M_alt 'R -3'
_space_group_IT_number 148
_space_group_name_Hall '-R 3'
loop_
_atom_site_label
_atom_site_type_symbol
_atom_site_fract_x
_atom_site_fract_y
_atom_site_fract_z
Rb1 Rb 0.0000 0.0000 0.1761
Rb2 Rb 0.0253 0.7674 0.5971
Hg1 Hg 0.0055 0.4170 0.5588
Au1 Au 0.0000 0.0000 0.5000
# D(E_F): 31.63 states/eV per cell
# Energy of formation from the pure elements: -0.185 eV per atom
# Uncorrected energy: -1.040 eV per atom
# Theoretical density: 4.445 g/cm³